(1)
! KSrTl2, relaxed, DFT GGA-PBEsol; values from VASP
! - Calculated formation energy: -5.1 kcal/mol of atoms
! - E: -0.1676 Ry per atom
! - Offset from the most stable computed form: 4 meV per atom
&SYSTEM
  ibrav = 0, nat = 4, ntyp = 3
/
ATOMIC_SPECIES
Tl 204.38 Tl.upf
Sr 87.62 Sr.upf
K 39.10 K.upf
ATOMIC_POSITIONS crystal
Tl 0.0000 0.0000 0.7752
Tl 0.0000 0.0000 0.2248
Sr 0.5000 0.5000 0.0000
K 0.5000 0.5000 0.5000
CELL_PARAMETERS angstrom
-2.7186 -1.7011 2.3653
-2.2505 -0.8486 -3.1970
3.9669 -7.4667 -0.8105

=====

(2)
! ZrScCl2, relaxed, DFT GGA-PBEsol; values from VASP
! - Energy relative to the elements, uncorrected: -1.39 eV per atom
! - E: -0.4641 Ry per atom
&SYSTEM
  ibrav = 0, nat = 4, ntyp = 3
/
ATOMIC_SPECIES
Zr 91.22 Zr.upf
Cl 35.45 Cl.upf
Sc 44.96 Sc.upf
ATOMIC_POSITIONS crystal
Zr 0.2528 0.2528 0.2416
Cl 0.7684 0.7684 0.6948
Cl 0.9826 0.9826 0.0521
Sc 0.4962 0.4962 0.5115
CELL_PARAMETERS angstrom
-0.4537 3.0792 1.3137
-0.1811 0.3973 3.3500
8.7742 2.3351 1.9009

=====

no.,N(E_F) (states/eV/cell),volume (Å³/cell),total magnetization (μB per formula unit)
1,2.75,135.41,0.00
2,2.44,89.64,0.51